No. 1
Ho3URu4: optimized geometry, PBE-GGA.

a b c (Å): 4.410 6.479 12.445
angles (deg): 90.00 90.00 90.00
Space group Immm (No. 71)
Inequivalent atoms, fractional coordinates:
Ho (0.000, 0.000, 0.000) [2 per cell]
Ho (0.000, 0.000, 0.274) [4 per cell]
U (0.000, 0.500, 0.000) [2 per cell]
Ru (0.000, 0.206, 0.500) [4 per cell]
Ru (0.000, 0.500, 0.354) [4 per cell]

Summary:
Crystal system   orthorhombic
DFT formation energy   -0.078 eV/atom
Offset from the most stable computed form   286 meV per atom
Magnetization   0.09 μB per atom

=====

No. 2
Ac3LaPm3: optimized geometry, PBE-GGA.

a b c (Å): 10.2205 10.2205 6.1347
angles (deg): 90.00 90.00 120.00
Space group P6_3/m (No. 176)
Inequivalent atoms, fractional coordinates:
Ac (0.0931, 0.4639, 0.2500) [6 per cell]
La (0.3333, 0.6667, 0.7500) [2 per cell]
Pm (0.0445, 0.2282, 0.7500) [6 per cell]

Summary:
Crystal system   hexagonal
DFT formation energy   0.046 eV/atom
Magnetization   0.00 μB per atom

=====

No. 3
FeTeCI2: optimized geometry, PBE-GGA.

a b c (Å): 5.797 5.797 5.474
angles (deg): 90.00 90.00 90.00
Space group P4/mmm (No. 123)
Inequivalent atoms, fractional coordinates:
Fe (0.000, 0.000, 0.000) [1 per cell]
Te (0.000, 0.000, 0.500) [1 per cell]
C (0.500, 0.500, 0.500) [1 per cell]
I (0.000, 0.500, 0.000) [2 per cell]

Summary:
Crystal system   tetragonal
Offset from the most stable computed form   656 meV per atom
Raw formation energy   48.954 kcal/mol of atoms
Magnetization   0.00 μB per atom

=====

No. 4
Np2NbSi2Ru5: optimized geometry, PBE-GGA.

a b c (Å): 10.196 10.196 3.170
angles (deg): 90.00 90.00 90.00
Space group P4/mbm (No. 127)
Inequivalent atoms, fractional coordinates:
Np (0.175, 0.325, 0.000) [4 per cell]
Nb (0.000, 0.000, 0.000) [2 per cell]
Si (0.126, 0.626, 0.000) [4 per cell]
Ru (0.000, 0.500, 0.500) [2 per cell]
Ru (0.064, 0.792, 0.500) [8 per cell]

Summary:
Crystal system   tetragonal
Raw formation energy   -7.600 kcal/mol of atoms
Magnetization   0.71 μB per atom

=====

The density results, record by record, are as follows: 10.62 7.51 4.06 11.37 g/cm3.
The calculated total energy results, record by record, are as follows: -0.288 -0.164 -0.098 -0.355 hartree per atom.